Record 1
A plane-wave DFT calculation with PBE-GGA was carried out for a relaxed Ho6Er5 crystal. Values from VASP.

Quantum ESPRESSO input file:
```
&SYSTEM
  ibrav = 0, nat = 11, ntyp = 2
/
ATOMIC_SPECIES
Ho 164.93 Ho.upf
Er 167.26 Er.upf
ATOMIC_POSITIONS angstrom
Ho -5.8857 -7.3497 -2.2349
Ho -1.0324 -2.5859 -0.4719
Ho -3.2107 -7.4117 -6.3585
Ho -8.7634 -5.7636 -7.9385
Ho -5.7393 -4.0429 -3.7815
Ho -0.1866 -5.6910 -2.2015
Er -3.4590 -4.9678 -1.3534
Er -3.4149 -1.8002 -2.8664
Er -6.3986 -3.5127 -7.1568
Er -2.4957 -4.7719 -4.5348
Er -6.4544 -6.6827 -5.6052
CELL_PARAMETERS angstrom
-7.7815 -3.7939 -2.5900
-2.0320 -1.5190 -7.4333
0.8634 -6.1417 -0.1168
```

Calculated values
**DFT total energy**: -4.4283 eV per atom
**E_form**: 1.570 eV per formula unit
**SG**: C2/m

---

Record 2
A plane-wave DFT calculation with PBE-GGA was carried out for a relaxed Zr2MnPd crystal. Values from VASP.

Quantum ESPRESSO input file:
```
&SYSTEM
  ibrav = 0, nat = 4, ntyp = 3
/
ATOMIC_SPECIES
Mn 54.94 Mn.upf
Zr 91.22 Zr.upf
Pd 106.42 Pd.upf
ATOMIC_POSITIONS angstrom
Mn -1.7464 -1.3953 -0.4321
Zr 3.2888 -4.0230 -0.3014
Zr 0.9818 -1.2010 -0.0900
Pd 0.3889 -4.0073 -0.6278
CELL_PARAMETERS angstrom
-1.9996 -1.7695 1.7993
-1.4932 -1.0211 -2.6636
4.2706 -5.2240 -0.3914
```

Calculated values
**DFT total energy**: -8.2460 eV per atom
**E_form**: -1.525 eV per formula unit
**SG**: P4/mmm

---

Record 3
A plane-wave DFT calculation with PBE-GGA was carried out for a relaxed Cs2CuPdI6 crystal. Values from VASP.

Quantum ESPRESSO input file:
```
&SYSTEM
  ibrav = 0, nat = 10, ntyp = 4
/
ATOMIC_SPECIES
Cs 132.91 Cs.upf
I 126.90 I.upf
Cu 63.55 Cu.upf
Pd 106.42 Pd.upf
ATOMIC_POSITIONS angstrom
Cs -4.4803 -5.6362 6.3539
Cs -4.4601 -8.4115 1.2515
I -2.4816 -5.1527 2.7929
I -6.4588 -8.8949 4.8126
I -2.0149 -1.6491 0.8890
I -6.4924 -5.3138 2.8646
I -4.2643 -2.0208 4.5622
I -4.2430 -4.9422 -0.8086
Cu -4.2537 -3.4815 1.8768
Pd 0.0000 0.0000 0.0000
CELL_PARAMETERS angstrom
-4.2739 -0.7062 6.9791
-4.2334 -6.2568 -3.2255
-0.4331 -7.0847 3.8518
```

Calculated values
**DFT total energy**: -2.7198 eV per atom
**E_form (uncorrected)**: -6.90 eV per formula unit
**SG**: I4/mmm

---

Record 4
A plane-wave DFT calculation with PBE-GGA was carried out for a relaxed PmSmDy2Er2 crystal. Values from VASP.

Quantum ESPRESSO input file:
```
&SYSTEM
  ibrav = 0, nat = 12, ntyp = 4
/
ATOMIC_SPECIES
Pm 145.00 Pm.upf
Sm 150.36 Sm.upf
Dy 162.50 Dy.upf
Er 167.26 Er.upf
ATOMIC_POSITIONS angstrom
Pm 0.0000 0.0000 0.0000
Pm 1.6955 3.2809 8.8852
Sm 1.6955 3.2809 0.0000
Sm 0.0000 0.0000 8.8852
Dy 1.6955 1.7890 5.5955
Dy 0.0000 5.0699 3.2897
Dy 1.6955 4.7727 12.1750
Dy 0.0000 1.4918 14.4808
Er 1.6955 5.0800 6.2329
Er 1.6955 1.4817 11.5376
Er 0.0000 4.7626 15.1181
Er 0.0000 1.7992 2.6524
CELL_PARAMETERS angstrom
3.3910 0.0000 0.0000
0.0000 6.5618 0.0000
0.0000 0.0000 17.7705
```

Calculated values
**DFT total energy**: -4.3541 eV per atom
**E_form**: 1.675 eV per formula unit
**SG**: Pnnm

---

Record 5
A plane-wave DFT calculation with PBE-GGA was carried out for a relaxed VCuB3 crystal. Values from VASP.

Quantum ESPRESSO input file:
```
&SYSTEM
  ibrav = 0, nat = 5, ntyp = 3
/
ATOMIC_SPECIES
B 10.81 B.upf
Cu 63.55 Cu.upf
V 50.94 V.upf
ATOMIC_POSITIONS angstrom
B 0.0000 1.9703 0.0000
B 0.0000 0.0000 1.9703
B 1.9703 0.0000 0.0000
Cu 1.9703 1.9703 1.9703
V 0.0000 0.0000 0.0000
CELL_PARAMETERS angstrom
3.9407 0.0000 0.0000
0.0000 3.9407 0.0000
0.0000 0.0000 3.9407
```

Calculated values
**DFT total energy**: -5.2232 eV per atom
**E_form**: 7.131 eV per formula unit
**SG**: Pm-3m

---

Record 6
A plane-wave DFT calculation with PBE-GGA was carried out for a relaxed Cs4H5Rh crystal. Values from VASP.

Quantum ESPRESSO input file:
```
&SYSTEM
  ibrav = 0, nat = 10, ntyp = 3
/
ATOMIC_SPECIES
Cs 132.91 Cs.upf
H 1.01 H.upf
Rh 102.91 Rh.upf
ATOMIC_POSITIONS angstrom
Cs 6.3025 2.5405 5.3149
Cs 9.4365 5.3149 3.8421
Cs 3.1684 1.0676 2.5405
Cs 6.3025 3.8421 1.0676
H 9.5877 1.4991 5.5563
H 6.4536 5.5563 4.8834
H 6.4536 0.8263 1.4991
H 3.3195 4.8834 0.8263
H 2.0046 0.0000 0.0000
Rh 0.3146 0.0000 0.0000
CELL_PARAMETERS angstrom
6.2681 0.0000 0.0000
3.1341 6.3826 0.0000
3.1341 0.0000 6.3826
```

Calculated values
**DFT total energy**: -2.8561 eV per atom
**SG**: I4

---

Record 7
A plane-wave DFT calculation with PBE-GGA was carried out for a relaxed LiSbAu3 crystal. Values from VASP.

Quantum ESPRESSO input file:
```
&SYSTEM
  ibrav = 0, nat = 5, ntyp = 3
/
ATOMIC_SPECIES
Sb 121.76 Sb.upf
Au 196.97 Au.upf
Li 6.94 Li.upf
ATOMIC_POSITIONS angstrom
Sb 0.0000 0.0000 0.0000
Au -0.4962 -0.1823 -2.5866
Au 0.9983 -2.4440 -0.0192
Au -2.3931 -0.9817 0.5283
Li -1.8910 -3.6080 -2.0776
CELL_PARAMETERS angstrom
-4.7863 -1.9635 1.0566
-0.9924 -0.3647 -5.1732
1.9967 -4.8879 -0.0385
```

Calculated values
**Energy relative to the lowest polymorph listed for this composition**: 396 meV/atom
**DFT total energy**: -3.0183 eV per atom
**E_form (uncorrected)**: 0.78 eV per formula unit
**SG**: Pm-3m

---

Record 8
A plane-wave DFT calculation with PBE-GGA was carried out for a relaxed TlVBi2 crystal. Values from VASP.

Quantum ESPRESSO input file:
```
&SYSTEM
  ibrav = 0, nat = 8, ntyp = 3
/
ATOMIC_SPECIES
Tl 204.38 Tl.upf
Bi 208.98 Bi.upf
V 50.94 V.upf
ATOMIC_POSITIONS angstrom
Tl 0.0000 0.0000 0.0000
Tl 6.4519 3.2259 3.5750
Bi 4.4417 1.6130 1.7875
Bi 2.0102 4.8389 1.7875
Bi 4.8389 5.2361 5.3625
Bi 8.0649 7.6677 5.3625
V 3.2259 3.2259 0.0000
V 3.2259 6.4519 3.5750
CELL_PARAMETERS angstrom
6.4519 0.0000 0.0000
0.0000 6.4519 0.0000
3.2259 3.2259 7.1500
```

Calculated values
**Energy relative to the lowest polymorph listed for this composition**: 299 meV/atom
**DFT total energy**: -4.2972 eV per atom
**E_form**: 2.058 eV per formula unit
**SG**: I-42d